No. 1
Computed, not measured: a relaxed La2TaSi crystal at the GGA-PBE level of DFT.

It has space group Immm (No. 71), with a = 4.5835 Å, b = 4.6138 Å, c = 9.2814 Å, α = 90.00°, β = 90.00° and γ = 90.00°. Symmetry generates all atoms from La at (0.0000, 0.0000, 0.2481), Ta at (0.0000, 0.5000, 0.5000) and Si at (0.0000, 0.5000, 0.0000).

For the total energy, the calculation gives -52.1 eV/cell. The calculation puts the uncorrected formation energy at 274 meV per atom. The calculation puts the mass density at 8.2 g/cm³.


No. 2
Computed, not measured: a relaxed La2AsS2 crystal at the GGA-PBE level of DFT.

It has space group I4/mmm (No. 139), with a = 4.5606 Å, b = 4.5606 Å, c = 14.0292 Å, α = 90.00°, β = 90.00° and γ = 90.00°. Symmetry generates all atoms from La at (0.0000, 0.0000, 0.1373), As at (0.0000, 0.0000, 0.5000) and S at (0.0000, 0.5000, 0.2500).

For the total energy, the calculation gives -59.3 eV/cell. The calculation puts the uncorrected formation energy at -1375 meV per atom. The distance to the lowest polymorph of the same formula comes out at 0.2378 eV/atom. The calculation puts the mass density at 4.7 g/cm³.


No. 3
Computed, not measured: a relaxed TlBi4Pb6 crystal at the GGA-PBE level of DFT.

It has space group P-6m2 (No. 187), with a = 9.7540 Å, b = 9.7540 Å, c = 4.7327 Å, α = 90.00°, β = 90.00° and γ = 120.00°. Symmetry generates all atoms from Tl at (0.0000, 0.0000, 0.0000), Bi at (0.3333, 0.6667, 0.0000), Bi at (0.3604, 0.1802, 0.5000), Pb at (0.1929, 0.3857, 0.5000) and Pb at (0.5430, 0.0861, 0.0000).

For the total energy, the calculation gives -39.7 eV/cell. As for the formation energy: 0.040 eV per atom. The calculation puts the mass density at 9.7 g/cm³.


No. 4
Computed, not measured: a relaxed CoCu2Mo crystal at the GGA-PBE level of DFT.

It has space group P2/m (No. 10), with a = 2.5345 Å, b = 4.2742 Å, c = 4.8061 Å, α = 90.00°, β = 102.77° and γ = 90.00°. Symmetry generates all atoms from Co at (0.0000, 0.0000, 0.0000), Cu at (0.1757, 0.5000, 0.7615) and Mo at (0.5000, 0.0000, 0.5000).

For the total energy, the calculation gives -25.2 eV/cell. As for the formation energy: 0.244 eV per atom. The distance to the lowest polymorph of the same formula comes out at 0.0887 eV/atom. The calculation puts the mass density at 9.2 g/cm³.


No. 5
Computed, not measured: a relaxed KZn2Re crystal at the GGA-PBE level of DFT.

It has space group Imm2 (No. 44), with a = 2.6014 Å, b = 5.3180 Å, c = 11.0710 Å, α = 90.00°, β = 90.00° and γ = 90.00°. Symmetry generates all atoms from K at (0.0000, 0.0000, 0.0000), Zn at (0.0000, 0.0000, 0.4917), Zn at (0.0000, 0.5000, 0.2170) and Re at (0.0000, 0.5000, 0.7865).

For the total energy, the calculation gives -26.3 eV/cell. As for the formation energy: 0.742 eV per atom. The distance to the lowest polymorph of the same formula comes out at 0.2542 eV/atom. The calculation puts the mass density at 7.7 g/cm³.


No. 6
Computed, not measured: a relaxed ZrCo6Ge4 crystal at the GGA-PBE level of DFT.

It has space group I-42m (No. 121), with a = 6.1185 Å, b = 6.1185 Å, c = 8.4861 Å, α = 90.00°, β = 90.00° and γ = 90.00°. Symmetry generates all atoms from Zr at (0.0000, 0.0000, 0.0000), Co at (0.0000, 0.5000, 0.0000), Co at (0.1553, 0.1553, 0.5906) and Ge at (0.2083, 0.2083, 0.3158).

For the total energy, the calculation gives -141.3 eV/cell. As for the formation energy: -0.093 eV per atom. The calculation puts the mass density at 7.7 g/cm³.


No. 7
Computed, not measured: a relaxed Li2ThTaN4 crystal at the GGA-PBE level of DFT.

It has space group Cmcm (No. 63), with a = 3.5471 Å, b = 12.8113 Å, c = 9.1275 Å, α = 90.00°, β = 90.00° and γ = 90.00°. Symmetry generates all atoms from Li at (0.0000, 0.0854, 0.0418), Th at (0.0000, 0.4284, 0.2500), Ta at (0.0000, 0.2942, 0.7500), N at (0.0000, 0.1278, 0.2500), N at (0.0000, 0.1779, 0.6188) and N at (0.0000, 0.5000, 0.0000).

For the total energy, the calculation gives -247.2 eV/cell. The calculation puts the uncorrected formation energy at -674 meV per atom. The calculation puts the mass density at 7.7 g/cm³.


No. 8
Computed, not measured: a relaxed PmGaAgPt crystal at the GGA-PBE level of DFT.

It has space group F-43m (No. 216), with a = 6.8599 Å, b = 6.8599 Å, c = 6.8599 Å, α = 90.00°, β = 90.00° and γ = 90.00°. Symmetry generates all atoms from Pm at (0.0000, 0.0000, 0.0000), Ga at (0.0000, 0.0000, 0.5000), Ag at (0.2500, 0.2500, 0.2500) and Pt at (0.2500, 0.2500, 0.7500).

For the total energy, the calculation gives -75.5 eV/cell. As for the formation energy: -0.549 eV per atom. The calculation puts the mass density at 10.7 g/cm³.


No. 9
Computed, not measured: a relaxed GaPd5Pt3 crystal at the GGA-PBE level of DFT.

It has space group C2/m (No. 12), with a = 8.5153 Å, b = 7.6995 Å, c = 10.0064 Å, α = 90.00°, β = 96.78° and γ = 90.00°. Symmetry generates all atoms from Ga at (0.0409, 0.0000, 0.2568), Pd at (0.0000, 0.3289, 0.0000), Pd at (0.0552, 0.5000, 0.3103), Pd at (0.1714, 0.2127, 0.6780), Pd at (0.2135, 0.5000, 0.8460), Pt at (0.0000, 0.0000, 0.0000), Pt at (0.0000, 0.0000, 0.5000), Pt at (0.2067, 0.5000, 0.5479) and Pt at (0.2463, 0.5000, 0.1179).

For the total energy, the calculation gives -182.8 eV/cell. As for the formation energy: 0.157 eV per atom. The calculation puts the mass density at 12.1 g/cm³.